1.
Density functional theory data (PBE) for a geometry-optimized SrPr4In5 structure.

Lattice parameters (Å, degrees): 3.9385 3.9385 19.6879 90.00 90.00 90.00
Last column: nearest neighbours and their distance in Å.
Space group P4/mmm (No. 123)
One atom of each set of equivalent atoms:
Sr  0.0000  0.0000  0.0000  8 In 3.52, 4 Sr 3.94
Pr  0.0000  0.0000  0.2046  8 In 3.36-3.41
Pr  0.0000  0.0000  0.4022  8 In 3.38-3.39
In  0.5000  0.5000  0.1092  4 Pr 3.36, 4 Sr 3.52
In  0.5000  0.5000  0.3049  8 Pr 3.38-3.41
In  0.5000  0.5000  0.5000  8 Pr 3.39

Output
Mass density = 6663 kg/m³
DFT total energy = -39.22 eV for the cell shown
D(E_F) = 6.0 states/eV/f.u.

---

2.
Density functional theory data (PBE) for a geometry-optimized TlSiTc2 structure.

Lattice parameters (Å, degrees): 3.9222 3.9222 8.3630 90.00 90.00 90.00
Last column: nearest neighbours and their distance in Å.
Space group I-4m2 (No. 119)
One atom of each set of equivalent atoms:
Tl  0.0000  0.0000  0.0000  8 Tc 2.77-2.87, 4 Si 2.87
Si  0.0000  0.5000  0.7500  8 Tc 2.77-2.87, 4 Tl 2.87
Tc  0.0000  0.0000  0.5000  4 Tl 2.77, 4 Tc 2.87, 4 Si 2.87
Tc  0.0000  0.5000  0.2500  4 Si 2.77, 4 Tl 2.87, 4 Tc 2.87

Output
Mass density = 11061 kg/m³
ΔE to the lowest computed polymorph = 471 meV per atom
Formation energy (no corrections) = 2.428 eV per formula unit
D(E_F) = 5.0 states/eV/f.u.

---

no.,total magnetization (μB per formula unit)
1,0.0
2,0.0